The following is a GGA+U calculation of a relaxed structure of MgNi3F8, from Alexandria via LeMat-Bulk.

Cell lengths 5.658, 5.658, 5.658 Å; angles 66.83, 66.83, 66.83 degrees
Sites, in units of the cell vectors:
1 Mg 0.000 0.000 0.000
2 Ni 0.000 0.500 0.500
3 Ni 0.500 0.000 0.500
4 Ni 0.500 0.500 0.000
5 F 0.239 0.239 0.741
6 F 0.239 0.741 0.239
7 F 0.259 0.259 0.259
8 F 0.259 0.761 0.761
9 F 0.741 0.239 0.239
10 F 0.741 0.741 0.741
11 F 0.761 0.259 0.761
12 F 0.761 0.761 0.259

Summary:
Raw total energy   -0.1640 hartree per atom
Space group   R-3m, No. 166
M_tot   0.499 μB/atom